# HoHfHg | the Alexandria database | PBE | relaxed
data_HoHfHg
_chemical_formula_sum 'Ho2 Hf2 Hg2'
_space_group_name_H-M_alt 'P 4/n m m'
_space_group_IT_number 129
_cell_length_a 4.438
_cell_length_b 4.438
_cell_length_c 7.664
_cell_angle_alpha 90.00
_cell_angle_beta 90.00
_cell_angle_gamma 90.00
loop_
_space_group_symop_operation_xyz
'x,y,z'
'-x,-y,-z'
'-y+1/2,x,z'
'y+1/2,-x,-z'
'-x+1/2,-y+1/2,z'
'x+1/2,y+1/2,-z'
'y,-x+1/2,z'
'-y,x+1/2,-z'
'x+1/2,-y,-z'
'-x+1/2,y,z'
'-y,-x,-z'
'y,x,z'
'-x,y+1/2,-z'
'x,-y+1/2,z'
'y+1/2,x+1/2,-z'
'-y+1/2,-x+1/2,z'
loop_
_atom_site_label
_atom_site_type_symbol
_atom_site_fract_x
_atom_site_fract_y
_atom_site_fract_z
Ho1 Ho 0.250 0.250 0.158
Hf1 Hf 0.250 0.750 0.500
Hg1 Hg 0.250 0.250 0.764
# Energy above the most stable polymorph in this dataset   17 meV/atom


Here is an optimized crystal structure of Cd2Co2H from the Alexandria database. Energies are from PBE.

Geometry as CIF:
```
data_Cd2Co2H
_chemical_formula_sum 'Cd4 Co4 H2'
_space_group_name_H-M_alt 'P 4/m b m'
_space_group_IT_number 127
_space_group_name_Hall '-P 4 2ab'
_cell_length_a 5.408
_cell_length_b 5.408
_cell_length_c 4.631
_cell_angle_alpha 90.00
_cell_angle_beta 90.00
_cell_angle_gamma 90.00
loop_
_atom_site_label
_atom_site_type_symbol
_atom_site_fract_x
_atom_site_fract_y
_atom_site_fract_z
Cd1 Cd 0.175 0.325 0.000
Co1 Co 0.158 0.658 0.500
H1 H 0.000 0.000 0.500
```


# TiSb2CSe | the Alexandria database | PBE | relaxed
data_TiSb2CSe
_chemical_formula_sum 'Ti1 Sb2 C1 Se1'
_space_group_name_H-M_alt 'P 4/m m m'
_space_group_IT_number 123
_space_group_name_Hall '-P 4 2'
_cell_length_a 4.671
_cell_length_b 4.671
_cell_length_c 4.463
_cell_angle_alpha 90.00
_cell_angle_beta 90.00
_cell_angle_gamma 90.00
loop_
_atom_site_label
_atom_site_type_symbol
_atom_site_fract_x
_atom_site_fract_y
_atom_site_fract_z
Ti1 Ti 0.000 0.000 0.000
Sb1 Sb 0.000 0.500 0.500
C1 C 0.500 0.500 0.500
Se1 Se 0.500 0.500 0.000
# Formation energy from raw total energies   85.5 kJ per mole of atoms


# Ce5Zn | the Alexandria database | PBE | relaxed
data_Ce5Zn
_chemical_formula_sum 'Ce10 Zn2'
_space_group_name_H-M_alt 'C m m m'
_space_group_IT_number 65
_space_group_name_Hall '-C 2 2'
_cell_length_a 5.461
_cell_length_b 16.777
_cell_length_c 3.218
_cell_angle_alpha 90.00
_cell_angle_beta 90.00
_cell_angle_gamma 90.00
loop_
_atom_site_label
_atom_site_type_symbol
_atom_site_fract_x
_atom_site_fract_y
_atom_site_fract_z
Ce1 Ce 0.000 0.000 0.000
Ce2 Ce 0.000 0.157 0.500
Ce3 Ce 0.000 0.340 0.000
Zn1 Zn 0.000 0.500 0.500
# Energy above the most stable polymorph in this dataset   28 meV/atom


no.,calculated density (g/cm3),total energy (eV for the cell shown),Fermi-level density of states (states/eV/cell)
1,12.0,-30.537,6.73
2,8.4,-34.641,10.76
3,6.5,-24.420,3.81
4,8.6,-61.893,31.57